Below is crystalline Na12CdIn6 at its relaxed geometry, with properties calculated at the PBE-GGA level.

Summary:
- V: 1665 Å³ per cell
- Magnetic moment: 0.0 μB/f.u.
- Theoretical density: 3.224 g cm⁻³
- Energy of formation: -0.09 eV per atom
- Uncorrected energy: -1.8333 eV/atom

abc: 11.4219 11.4219 14.7337
angles: 90.00 90.00 120.00
Closest atoms and distances in Å follow each position.
Space group R-3 (No. 148, hexagonal axes)
Inequivalent atoms, fractional coordinates:
Na1 0.0399 0.1920 0.3122 (multiplicity 18)  4 Na 3.14-3.51, 3 In 3.32-3.49, 1 Cd 3.42
Na2 0.0627 0.8374 0.9153 (multiplicity 18)  4 In 3.30-3.47, 5 Na 3.39-3.56
Cd1 0.0000 0.0000 0.5000 (multiplicity 3)  6 In 3.07, 6 Na 3.42
In1 0.0400 0.4476 0.2051 (multiplicity 18)  1 Cd 3.07, 2 In 3.22, 5 Na 3.30-3.43